Crystalline BaDyGa2 at its relaxed geometry, computed with PBE.

Cell lengths 3.8585, 3.8585, 9.6642 Å; angles 78.48, 78.48, 60.00 degrees
With the nearest neighbours (Å) after each atom.
Sites, in units of the cell vectors:
1 Ba 0.5000 0.5000 0.5000  6 Ga 3.43
2 Ga 0.2591 0.2591 0.2227  3 Dy 3.06
3 Ga 0.7409 0.7409 0.7773  3 Dy 3.06
4 Dy 0.0000 0.0000 0.0000  6 Ga 3.06

Computed properties:
The calculation puts the calculated density at 6.0 g cm⁻³. The calculation puts the energy above the lowest structure with this stoichiometry at 0.2684 eV/atom. The value obtained for the magnetic moment is 0.0 μB/f.u. The density of states at the Fermi level is 1.14 states/eV per atom.